[1]
VASP calculation (PBE) on crystalline La2DyHg2 at its relaxed geometry.

Geometry as extended XYZ:
```
10
Lattice="3.754 0.000 -0.502 0.000 5.384 0.000 0.052 0.000 14.629" Properties=species:S:1:pos:R:3 pbc="T T T"
La 0.894 4.038 6.703
La 3.640 1.346 12.905
Dy 3.234 4.038 9.903
La 2.913 1.346 7.424
Hg 2.112 1.346 1.453
Hg 2.410 4.038 3.746
Dy 0.572 1.346 4.224
Hg 1.695 4.038 12.674
La 0.167 4.038 1.222
Hg 1.397 1.346 10.381
```

Properties
- offset from the most stable computed form (meV per atom) = 0
- crystal system = monoclinic
- energy relative to the elements (eV per atom) = -0.371



[2]
VASP calculation (PBE) on crystalline SbTeRu2 at its relaxed geometry.

Geometry as extended XYZ:
```
4
Lattice="8.306 0.019 0.011 7.670 3.186 0.011 7.670 1.539 2.790" Properties=species:S:1:pos:R:3 pbc="T T T"
Ru 23.643 4.743 2.812
Ru 11.827 2.373 1.407
Te 17.735 3.558 2.109
Sb 5.912 1.186 0.703
```

Properties
- crystal system = trigonal
- formation energy (no corrections) (eV per formula unit) = 0.778



[3]
VASP calculation (PBE) on crystalline NaRePd at its relaxed geometry.

Geometry as extended XYZ:
```
6
Lattice="-3.756 -3.262 1.373 4.308 -5.761 0.916 0.221 0.980 2.502" Properties=species:S:1:pos:R:3 pbc="T T T"
Pd -0.431 -2.640 3.183
Na 2.656 -6.909 2.058
Re 1.542 -2.092 1.210
Re 3.061 -3.984 0.992
Na 0.897 -4.817 2.729
Pd -3.166 -2.631 3.120
```

Properties
- offset from the most stable computed form (meV per atom) = 155
- crystal system = triclinic
- energy relative to the elements (eV per atom) = 0.400



[4]
VASP calculation (PBE) on crystalline LiSmZrGa at its relaxed geometry.

Geometry as extended XYZ:
```
4
Lattice="4.958 0.000 0.000 2.479 4.294 0.000 2.479 1.431 4.048" Properties=species:S:1:pos:R:3 pbc="T T T"
Li 7.438 4.294 3.036
Zr 4.958 2.863 2.024
Ga 2.479 1.431 1.012
Sm 0.000 0.000 0.000
```

Properties
- crystal system = cubic
- energy relative to the elements (eV per atom) = -0.195



[5]
VASP calculation (PBE) on crystalline BeFe2Pt at its relaxed geometry.

Geometry as extended XYZ:
```
4
Lattice="2.871 0.000 0.000 0.000 3.892 0.000 0.000 0.000 4.248" Properties=species:S:1:pos:R:3 pbc="T T T"
Pt 1.436 0.000 2.124
Be 0.000 1.946 2.124
Fe 0.000 0.000 0.000
Fe 1.436 1.946 0.000
```

Properties
- crystal system = orthorhombic
- energy relative to the elements (eV per atom) = -0.218



[6]
VASP calculation (PBE) on crystalline ZnIn2Si at its relaxed geometry.

Geometry as extended XYZ:
```
4
Lattice="8.280 -0.003 -0.001 7.520 3.465 -0.001 7.520 1.648 3.048" Properties=species:S:1:pos:R:3 pbc="T T T"
In 23.305 5.107 3.043
Zn 17.489 3.833 2.284
Si 5.830 1.278 0.761
In 11.673 2.558 1.524
```

Properties
- offset from the most stable computed form (meV per atom) = 114
- crystal system = trigonal
- formation energy (no corrections) (eV per formula unit) = 1.179



[7]
VASP calculation (PBE) on crystalline CeHoLuPa at its relaxed geometry.

Geometry as extended XYZ:
```
4
Lattice="5.487 0.000 0.000 2.744 4.752 0.000 2.744 1.584 4.480" Properties=species:S:1:pos:R:3 pbc="T T T"
Lu 0.000 0.000 0.000
Pa 5.487 3.168 2.240
Ce 8.231 4.752 3.360
Ho 2.744 1.584 1.120
```

Properties
- crystal system = cubic
- energy relative to the elements (eV per atom) = 0.352



[8]
VASP calculation (PBE) on crystalline Tb10Sb3Te3 at its relaxed geometry.

Geometry as extended XYZ:
```
16
Lattice="6.231 0.000 0.000 0.000 7.839 -4.526 0.000 0.000 9.052" Properties=species:S:1:pos:R:3 pbc="T T T"
Sb 0.000 3.034 1.751
Tb 0.000 5.865 3.386
Sb 0.000 0.000 5.549
Tb 1.546 2.613 4.526
Tb 3.116 5.865 -3.386
Te 3.116 0.000 3.494
Tb 4.685 2.613 4.526
Tb 0.000 0.000 2.279
Sb 0.000 4.805 -2.774
Tb 4.685 5.226 0.000
Tb 3.116 0.000 6.773
Tb 0.000 1.974 -1.140
Tb 1.546 5.226 0.000
Te 3.116 3.026 -1.747
Te 3.116 4.813 2.779
Tb 3.116 1.974 1.140
```

Properties
- crystal system = hexagonal
- formation energy (no corrections) (eV per formula unit) = -15.462



Number 1: total magnetic moment 0.32 μB per cell. Number 2: total magnetic moment 0.00 μB per cell. Number 3: total magnetic moment 0.00 μB per cell. Number 4: total magnetic moment 0.00 μB per cell. Number 5: total magnetic moment 4.92 μB per cell. Number 6: total magnetic moment 0.00 μB per cell. Number 7: total magnetic moment 4.41 μB per cell. Number 8: total magnetic moment 0.00 μB per cell.